A plane-wave DFT calculation with PBE with a Hubbard U was carried out for an optimized crystal structure of CaPm2FeO5.

Values from the calculation:
The total energy comes out at -7.246 eV per atom.

Lattice parameters (Å, degrees): 5.644 6.641 6.641 90.00 90.00 90.00
Site moments in Bohr magnetons follow the coordinates.
Atoms (fractional coordinates):
Ca1 0.000 0.500 0.500  -0.01
Ca2 0.000 0.000 0.000  -0.01
Pm1 0.500 0.672 0.172  0.00
Pm2 0.500 0.172 0.328  0.00
Pm3 0.500 0.828 0.672  0.00
Pm4 0.500 0.328 0.828  0.00
Fe1 0.000 0.000 0.500  2.03
Fe2 0.000 0.500 0.000  2.03
O1 0.500 0.500 0.500  0.00
O2 0.500 0.000 0.000  0.00
O3 0.236 0.143 0.643  -0.01
O4 0.236 0.857 0.357  -0.01
O5 0.236 0.357 0.143  -0.01
O6 0.236 0.643 0.857  -0.01
O7 0.764 0.143 0.643  -0.01
O8 0.764 0.643 0.857  -0.01
O9 0.764 0.857 0.357  -0.01
O10 0.764 0.357 0.143  -0.01